This record from the Alexandria database describes an optimized crystal structure of TaIn2Ru. The functional is PBEsol.

The structure in POSCAR format:
```
TaIn2Ru
1.0
3.110 0.000 0.000
0.000 4.704 0.000
0.000 0.000 4.900
In Ru Ta
2 1 1
direct
0.000 0.000 0.000
0.500 0.000 0.500
0.500 0.500 0.000
0.000 0.500 0.500
```

Summary:
Formation enthalpy at 0 K ... 274 meV/atom
Magnetic moment ... 0.0000 μB/atom
Relative energy among the computed polymorphs ... 0.285 eV/atom
D(E_F) ... 2.8 states/eV/f.u.